DFT (GGA-PBE) results for an optimized crystal structure of Dy4Sb2C.

Structure (POSCAR):
```
Dy4Sb2C
1.0
4.790 0.000 0.000
0.000 4.790 0.000
-2.395 -2.395 7.873
Sb Dy C
2 4 1
Cartesian
0.000 0.000 5.635
2.395 2.395 2.238
2.395 0.000 0.000
0.000 0.000 2.476
0.000 2.395 0.000
2.395 2.395 5.397
0.000 0.000 0.000
```

Calculated values
Energy relative to the elements, uncorrected, eV/atom: -0.7759
Space-group type: No. 139
ΔE to the lowest computed polymorph, eV/atom: 0.0000